Entry 1:
{
  "formula": "Ta4InN3",
  "functional": "PBE",
  "state": "optimized geometry",
  "mass_density_g_cm3": 14.08,
  "energy_ry_per_atom": -0.737,
  "magmom_total_mub_per_atom": 0.0000,
  "lattice": [[-1.143, 2.846, 0.377], [-1.242, -1.898, -2.099], [-15.965, -8.707, 17.322]],
  "species": ["Ta", "Ta", "Ta", "Ta", "Ta", "Ta", "Ta", "Ta", "N", "N", "N", "N", "N", "N", "In", "In"],
  "frac_coords": [[0.000, 0.000, 0.154], [0.333, 0.667, 0.451], [0.667, 0.333, 0.951], [0.333, 0.667, 0.049], [0.667, 0.333, 0.549], [0.000, 0.000, 0.346], [0.000, 0.000, 0.846], [0.000, 0.000, 0.654], [0.000, 0.000, 0.500], [0.333, 0.667, 0.602], [0.667, 0.333, 0.398], [0.000, 0.000, 0.000], [0.667, 0.333, 0.102], [0.333, 0.667, 0.898], [0.333, 0.667, 0.250], [0.667, 0.333, 0.750]]
}


Entry 2:
{
  "formula": "TmSiB",
  "functional": "PBE",
  "state": "optimized geometry",
  "mass_density_g_cm3": 7.45,
  "energy_ry_per_atom": -0.400,
  "magmom_total_mub_per_atom": 0.0001,
  "polymorph_energy_mev_per_atom": 726.7,
  "lattice": [[0.000, 2.851, 2.851], [2.851, 0.000, 2.851], [2.851, 2.851, 0.000]],
  "species": ["Tm", "B", "Si"],
  "frac_coords": [[0.750, 0.750, 0.750], [0.000, 0.000, 0.000], [0.250, 0.250, 0.250]]
}


Entry 3:
{
  "formula": "Lu2ScN3",
  "functional": "PBE",
  "state": "optimized geometry",
  "mass_density_g_cm3": 9.56,
  "energy_ry_per_atom": -0.632,
  "magmom_total_mub_per_atom": 0.0000,
  "lattice": [[-2.515, -2.131, 0.017], [2.603, -0.539, -1.948], [3.565, -4.162, 5.915]],
  "species": ["Lu", "Lu", "Sc", "N", "N", "N"],
  "frac_coords": [[0.667, 0.333, 0.171], [0.333, 0.667, 0.829], [0.000, 0.000, 0.500], [0.667, 0.333, 0.660], [0.333, 0.667, 0.340], [0.000, 0.000, 0.000]]
}


Entry 4:
{
  "formula": "Tm2NiSn6",
  "functional": "PBE",
  "state": "optimized geometry",
  "mass_density_g_cm3": 8.50,
  "energy_ry_per_atom": -0.346,
  "magmom_total_mub_per_atom": 0.0001,
  "lattice": [[2.180, -11.239, 0.000], [2.180, 11.239, 0.000], [0.000, 0.000, 4.418]],
  "species": ["Sn", "Sn", "Sn", "Sn", "Sn", "Sn", "Tm", "Tm", "Ni"],
  "frac_coords": [[0.429, 0.571, 0.500], [0.796, 0.204, 0.500], [0.070, 0.930, 0.000], [0.571, 0.429, 0.500], [0.204, 0.796, 0.500], [0.930, 0.070, 0.000], [0.321, 0.679, 0.000], [0.679, 0.321, 0.000], [0.000, 0.000, 0.500]]
}


Entry 5:
{
  "formula": "Cs2FeAsBr6",
  "functional": "PBE",
  "state": "optimized geometry",
  "mass_density_g_cm3": 4.75,
  "energy_ry_per_atom": -0.245,
  "magmom_total_mub_per_atom": 0.3096,
  "lattice": [[5.864, -4.774, 0.186], [-0.258, -6.138, 4.413], [-0.615, -6.869, -3.107]],
  "species": ["Br", "Br", "Br", "Br", "Br", "Br", "Cs", "Cs", "As", "Fe"],
  "frac_coords": [[0.259, 0.741, 0.259], [0.259, 0.741, 0.741], [0.741, 0.259, 0.741], [0.259, 0.259, 0.741], [0.741, 0.741, 0.259], [0.741, 0.259, 0.259], [0.750, 0.750, 0.750], [0.250, 0.250, 0.250], [0.000, 0.000, 0.000], [0.500, 0.500, 0.500]]
}


Entry 6:
{
  "formula": "CoAs2Pd",
  "functional": "PBE",
  "state": "optimized geometry",
  "mass_density_g_cm3": 8.51,
  "energy_ry_per_atom": -0.397,
  "magmom_total_mub_per_atom": 0.0062,
  "polymorph_energy_mev_per_atom": 0.0,
  "lattice": [[4.026, 0.000, 0.000], [0.000, 4.026, 0.000], [0.000, 0.000, 7.585]],
  "species": ["As", "As", "As", "As", "Pd", "Pd", "Co", "Co"],
  "frac_coords": [[0.500, 0.500, 0.000], [0.500, 0.000, 0.296], [0.000, 0.500, 0.704], [0.000, 0.000, 0.000], [0.500, 0.500, 0.500], [0.000, 0.000, 0.500], [0.500, 0.000, 0.807], [0.000, 0.500, 0.193]]
}